Density functional theory data (PBE-GGA) for an optimized crystal structure of ZrZnHgMo2.

Computed properties:
E_tot: -4.32 eV per atom
theoretical density: 7.123 g cm⁻³
calculated formation energy: 2.0414 eV per atom
spin magnetization: 0.4 μB per formula unit

a = 4.9795 Å, b = 5.1627 Å, c = 4.9795 Å
α = 90.00°, β = 90.00°, γ = 90.00°
Atoms (fractional coordinates):
1 Zn 0.5000 0.5000 0.5000
2 Hg 0.0000 0.0000 0.0000
3 Mo 0.5000 0.0000 0.0000
4 Zr 0.0000 0.5000 0.0000
5 Mo 0.0000 0.0000 0.5000